No. 1
# Tm2SnHg | Alexandria via LeMat-Bulk | GGA-PBE | optimized geometry
data_Tm2SnHg
_chemical_formula_sum 'Tm2 Sn1 Hg1'
_cell_length_a 5.1201
_cell_length_b 5.1201
_cell_length_c 3.8766
_cell_angle_alpha 90.00
_cell_angle_beta 90.00
_cell_angle_gamma 90.00
_space_group_name_H-M_alt 'P 4/m m m'
_space_group_IT_number 123
_space_group_name_Hall '-P 4 2'
loop_
_atom_site_label
_atom_site_type_symbol
_atom_site_fract_x
_atom_site_fract_y
_atom_site_fract_z
Tm1 Tm 0.0000 0.5000 0.0000
Sn1 Sn 0.0000 0.0000 0.5000
Hg1 Hg 0.5000 0.5000 0.5000
# - DOS at the Fermi energy (states/eV per cell) = 3.057
# - total DFT energy (no corrections) (eV/cell) = -15.36
# - volume (Å³/cell) = 101.6
# - ΔE_f (meV per atom) = -529

=====

No. 2
# Y2Tm2Th3 | Alexandria via LeMat-Bulk | GGA-PBE | optimized geometry
data_Y2Tm2Th3
_chemical_formula_sum 'Y4 Tm4 Th6'
_cell_length_a 14.3039
_cell_length_b 3.5773
_cell_length_c 11.5910
_cell_angle_alpha 90.00
_cell_angle_beta 126.82
_cell_angle_gamma 90.00
_space_group_name_H-M_alt 'C 1 2/m 1'
_space_group_IT_number 12
loop_
_space_group_symop_operation_xyz
'x,y,z'
'-x,-y,-z'
'-x,y,-z'
'x,-y,z'
'x+1/2,y+1/2,z'
'-x+1/2,-y+1/2,-z'
'-x+1/2,y+1/2,-z'
'x+1/2,-y+1/2,z'
loop_
_atom_site_label
_atom_site_type_symbol
_atom_site_fract_x
_atom_site_fract_y
_atom_site_fract_z
Y1 Y 0.2470 0.0000 0.3672
Tm1 Tm 0.2388 0.5000 0.1073
Th1 Th 0.0000 0.0000 0.0000
Th2 Th 0.0029 0.5000 0.7335
# - DOS at the Fermi energy (states/eV per cell) = 19.686
# - total DFT energy (no corrections) (eV/cell) = -85.14
# - volume (Å³/cell) = 474.8
# - polymorph energy (0 for the lowest one) (meV per atom) = 84
# - ΔE_f (meV per atom) = 223

=====

No. 3
# Rb2TlTc | Alexandria via LeMat-Bulk | GGA-PBE | optimized geometry
data_Rb2TlTc
_chemical_formula_sum 'Rb8 Tl4 Tc4'
_cell_length_a 13.1082
_cell_length_b 13.1082
_cell_length_c 5.3560
_cell_angle_alpha 90.00
_cell_angle_beta 90.00
_cell_angle_gamma 90.00
_space_group_name_H-M_alt 'I -4 2 d'
_space_group_IT_number 122
_space_group_name_Hall 'I -4 2bw'
loop_
_atom_site_label
_atom_site_type_symbol
_atom_site_fract_x
_atom_site_fract_y
_atom_site_fract_z
Rb1 Rb 0.0744 0.7500 0.1250
Tl1 Tl 0.0000 0.0000 0.5000
Tc1 Tc 0.0000 0.0000 0.0000
# - DOS at the Fermi energy (states/eV per cell) = 21.183
# - total DFT energy (no corrections) (eV/cell) = -43.26
# - volume (Å³/cell) = 920.3
# - polymorph energy (0 for the lowest one) (meV per atom) = 0
# - ΔE_f (meV per atom) = 963